1.
Density functional theory data (PBE) for a relaxed structure of CrCd2In.

abc: 6.572 6.572 4.793
angles: 110.69 110.69 26.87
Atoms (fractional coordinates):
1 Cr 0.000 0.000 0.000
2 Cd 0.296 0.296 0.795
3 Cd 0.704 0.704 0.205
4 In 0.500 0.500 0.500

Results
energy relative to the elements	243.3	meV per atom



2.
Density functional theory data (PBE) for a relaxed structure of Cr2CdIn.

abc: 9.375 9.375 9.375
angles: 18.24 18.24 18.24
Atoms (fractional coordinates):
1 Cr 0.000 0.000 0.000
2 Cr 0.280 0.280 0.280
3 Cd 0.525 0.525 0.525
4 In 0.752 0.752 0.752

Results
energy relative to the elements	402.6	meV per atom



3.
Density functional theory data (PBE) for a relaxed structure of Cr2CdIn.

abc: 5.469 5.469 5.469
angles: 146.07 128.40 63.20
Atoms (fractional coordinates):
1 Cr 0.000 0.000 0.000
2 Cr 0.810 0.310 0.500
3 Cd 0.266 0.766 0.500
4 In 0.543 0.543 0.000

Results
energy relative to the elements	367.5	meV per atom



4.
Density functional theory data (PBE) for a relaxed structure of CrCd2In.

abc: 4.885 4.885 4.885
angles: 60.00 60.00 60.00
Atoms (fractional coordinates):
1 Cr 0.000 0.000 0.000
2 Cd 0.250 0.250 0.250
3 Cd 0.500 0.500 0.500
4 In 0.750 0.750 0.750

Results
energy relative to the elements	284.4	meV per atom